# MgZnAu2

A relaxed structure of MgZnAu2 (PBE, the Alexandria database).

a b c (Å): 6.526 6.526 6.526
angles (deg): 90.00 90.00 90.00
Space group F-43m (No. 216)
Asymmetric unit:
1 Mg 0.000 0.000 0.000 x4
2 Zn 0.250 0.250 0.250 x4
3 Au 0.000 0.000 0.500 x4
4 Au 0.250 0.250 0.750 x4

- energy of formation from the pure elements (eV/atom) = -0.30
- total moment (μB per formula unit) = 0.00
- DOS at the Fermi energy (states/eV per atom) = 0.41



# Mg2ZnAu

A relaxed structure of Mg2ZnAu (PBE, the Alexandria database).

a b c (Å): 5.579 4.413 6.352
angles (deg): 90.00 108.15 90.00
Space group P2_1/m (No. 11)
Asymmetric unit:
1 Mg 0.166 0.250 0.415 x2
2 Mg 0.195 0.250 0.918 x2
3 Zn 0.347 0.750 0.224 x2
4 Au 0.361 0.750 0.705 x2

- energy of formation from the pure elements (eV/atom) = -0.37
- total moment (μB per formula unit) = 0.00
- DOS at the Fermi energy (states/eV per atom) = 0.31



# Mg4ZnAu

A relaxed structure of Mg4ZnAu (PBE, the Alexandria database).

a b c (Å): 7.895 7.895 7.895
angles (deg): 90.00 90.00 90.00
Space group F-43m (No. 216)
Asymmetric unit:
1 Mg 0.125 0.125 0.125 x16
2 Zn 0.250 0.250 0.750 x4
3 Au 0.000 0.000 0.500 x4

- energy of formation from the pure elements (eV/atom) = 0.10
- total moment (μB per formula unit) = 0.00
- DOS at the Fermi energy (states/eV per atom) = 0.33



# Mg3Zn2Au

A relaxed structure of Mg3Zn2Au (PBE, the Alexandria database).

a b c (Å): 3.357 3.357 9.582
angles (deg): 90.00 90.00 90.00
Space group P4/mmm (No. 123)
Asymmetric unit:
1 Mg 0.000 0.000 0.000 x1
2 Mg 0.000 0.000 0.335 x2
3 Zn 0.500 0.500 0.162 x2
4 Au 0.500 0.500 0.500 x1

- energy of formation from the pure elements (eV/atom) = -0.26
- total moment (μB per formula unit) = 0.00
- DOS at the Fermi energy (states/eV per atom) = 0.24



# MgZn2Au6

A relaxed structure of MgZn2Au6 (PBE, the Alexandria database).

a b c (Å): 4.123 7.589 11.309
angles (deg): 90.00 90.00 90.00
Space group Immm (No. 71)
Asymmetric unit:
1 Mg 0.000 0.000 0.000 x2
2 Zn 0.000 0.000 0.312 x4
3 Au 0.000 0.230 0.500 x4
4 Au 0.000 0.275 0.165 x8

- energy of formation from the pure elements (eV/atom) = -0.20
- total moment (μB per formula unit) = 0.00
- DOS at the Fermi energy (states/eV per atom) = 0.21



# MgZnAu

A relaxed structure of MgZnAu (PBE, the Alexandria database).

a b c (Å): 3.569 4.168 7.368
angles (deg): 90.00 90.00 90.00
Space group Pmmn (No. 59, origin choice 2)
Asymmetric unit:
1 Mg 0.250 0.250 0.134 x2
2 Zn 0.250 0.750 0.522 x2
3 Au 0.250 0.250 0.758 x2

- energy of formation from the pure elements (eV/atom) = -0.38
- total moment (μB per formula unit) = 0.00
- DOS at the Fermi energy (states/eV per atom) = 0.43